Crystalline Cs3F at its relaxed geometry. Source: Alexandria, functional PBE.

E above lowest polymorph = 0.043 eV per atom
volume = 65.3 Å³ per atom
D(E_F) = 2.7 states/eV per cell
magnetic moment = 0.0 Bohr magnetons per cell
E_form (uncorrected) = -1.17 eV per atom
total energy = -0.08384 Ha/atom

Cell and atoms, written as CIF:
```
data_Cs3F
_cell_length_a 4.273
_cell_length_b 4.695
_cell_length_c 13.012
_cell_angle_alpha 90.00
_cell_angle_beta 90.00
_cell_angle_gamma 90.00
_symmetry_space_group_name_H-M 'P m m 2'
_symmetry_Int_Tables_number 25
_symmetry_space_group_name_Hall 'P 2 -2'
loop_
_atom_site_label
_atom_site_fract_x
_atom_site_fract_y
_atom_site_fract_z
Cs1 0.000 0.000 0.000
Cs2 0.000 0.500 0.258
Cs3 0.500 0.500 0.640
F1 0.500 0.000 0.162
```

=====

Crystalline LiPmTh2 at its relaxed geometry. Source: Alexandria, functional PBE.

E above lowest polymorph = 0.113 eV per atom
volume = 32.4 Å³ per atom
D(E_F) = 14.8 states/eV per cell
magnetic moment = 0.0 Bohr magnetons per cell
formation energy = 0.277 eV/atom
total energy = -0.18740 Ha/atom

Cell and atoms, written as CIF:
```
data_LiPmTh2
_cell_length_a 3.4288
_cell_length_b 3.4288
_cell_length_c 38.2177
_cell_angle_alpha 90.00
_cell_angle_beta 90.00
_cell_angle_gamma 120.00
_symmetry_space_group_name_H-M 'R -3 m'
_symmetry_Int_Tables_number 166
_symmetry_space_group_name_Hall '-R 3 2"'
loop_
_atom_site_label
_atom_site_fract_x
_atom_site_fract_y
_atom_site_fract_z
Li1 0.0000 0.0000 0.0000
Pm1 0.0000 0.0000 0.5000
Th1 0.0000 0.0000 0.0867
```

=====

Crystalline BeCo3Sn at its relaxed geometry. Source: Alexandria, functional PBE.

E above lowest polymorph = 1.504 eV per atom
volume = 19.7 Å³ per atom
D(E_F) = 10.6 states/eV per cell
magnetic moment = 3.8 Bohr magnetons per cell
formation energy = 1.708 eV/atom
total energy = -0.15071 Ha/atom

Cell and atoms, written as CIF:
```
data_BeCo3Sn
_cell_length_a 4.622
_cell_length_b 4.622
_cell_length_c 4.622
_cell_angle_alpha 90.00
_cell_angle_beta 90.00
_cell_angle_gamma 90.00
_symmetry_space_group_name_H-M 'P m -3 m'
_symmetry_Int_Tables_number 221
_symmetry_space_group_name_Hall '-P 4 2 3'
loop_
_atom_site_label
_atom_site_fract_x
_atom_site_fract_y
_atom_site_fract_z
Be1 0.000 0.000 0.000
Co1 0.000 0.500 0.500
Sn1 0.500 0.500 0.500
```

=====

Question: The lowest D(E_F) belongs to which entry?
Answer: Cs3F

=====

Question: Look up the magnetic moment of the second one.
Answer: 0.0 Bohr magnetons per cell

=====

Question: What is the formula in the first record?
Answer: Cs3F

=====

Question: D(E_F) of number 3 (BeCo3Sn)?
Answer: 10.6 states/eV per cell